1.
# CoTeOsBr2 (PBE, optimized geometry)
# D(E_F)	2.3135	states/eV/atom
# ΔE_f (raw)	1.12	eV/atom
# total energy	-19.2	eV for the cell shown
data_CoTeOsBr2
_chemical_formula_sum 'Co1 Te1 Os1 Br2'
_cell_length_a 4.9469
_cell_length_b 5.4612
_cell_length_c 4.9469
_cell_angle_alpha 90.00
_cell_angle_beta 90.00
_cell_angle_gamma 90.00
_symmetry_space_group_name_H-M 'P 1'
_symmetry_Int_Tables_number 1
loop_
_symmetry_equiv_pos_as_xyz
'x,y,z'
loop_
_atom_site_label
_atom_site_type_symbol
_atom_site_fract_x
_atom_site_fract_y
_atom_site_fract_z
_atom_site_occupancy
Co1 Co 0.5000 0.5000 0.5000 1
Te1 Te 0.0000 0.5000 0.0000 1
Os1 Os 0.0000 0.0000 0.0000 1
Br1 Br 0.0000 0.0000 0.5000 1
Br2 Br 0.5000 0.0000 0.0000 1


2.
# YCoOsBr2 (PBE, optimized geometry)
# D(E_F)	0.9644	states/eV/atom
# ΔE_f (raw)	0.62	eV/atom
# total energy	-25.1	eV for the cell shown
data_YCoOsBr2
_chemical_formula_sum 'Y1 Co1 Os1 Br2'
_cell_length_a 5.0260
_cell_length_b 4.4961
_cell_length_c 5.0260
_cell_angle_alpha 90.00
_cell_angle_beta 90.00
_cell_angle_gamma 90.00
_symmetry_space_group_name_H-M 'P 1'
_symmetry_Int_Tables_number 1
loop_
_symmetry_equiv_pos_as_xyz
'x,y,z'
loop_
_atom_site_label
_atom_site_type_symbol
_atom_site_fract_x
_atom_site_fract_y
_atom_site_fract_z
_atom_site_occupancy
Y1 Y 0.5000 0.5000 0.5000 1
Co1 Co 0.0000 0.5000 0.0000 1
Os1 Os 0.0000 0.0000 0.0000 1
Br1 Br 0.0000 0.0000 0.5000 1
Br2 Br 0.5000 0.0000 0.0000 1


3.
# ZrCoOsBr2 (PBE, optimized geometry)
# D(E_F)	1.3028	states/eV/atom
# ΔE_f (raw)	1.17	eV/atom
# total energy	-24.4	eV for the cell shown
data_ZrCoOsBr2
_chemical_formula_sum 'Zr1 Co1 Os1 Br2'
_cell_length_a 4.9435
_cell_length_b 4.4796
_cell_length_c 4.9435
_cell_angle_alpha 90.00
_cell_angle_beta 90.00
_cell_angle_gamma 90.00
_symmetry_space_group_name_H-M 'P 1'
_symmetry_Int_Tables_number 1
loop_
_symmetry_equiv_pos_as_xyz
'x,y,z'
loop_
_atom_site_label
_atom_site_type_symbol
_atom_site_fract_x
_atom_site_fract_y
_atom_site_fract_z
_atom_site_occupancy
Co1 Co 0.0000 0.5000 0.0000 1
Os1 Os 0.0000 0.0000 0.0000 1
Br1 Br 0.0000 0.0000 0.5000 1
Br2 Br 0.5000 0.0000 0.0000 1
Zr1 Zr 0.5000 0.5000 0.5000 1


4.
# CoP2Br (PBE, optimized geometry)
# D(E_F)	0.6258	states/eV/atom
# ΔE_f (raw)	0.52	eV/atom
# total energy	-17.5	eV for the cell shown
# offset from the most stable computed form	669	meV/atom
data_CoP2Br
_chemical_formula_sum 'Co1 P2 Br1'
_cell_length_a 5.6942
_cell_length_b 5.6942
_cell_length_c 5.6942
_cell_angle_alpha 150.98
_cell_angle_beta 133.07
_cell_angle_gamma 56.13
_symmetry_space_group_name_H-M 'P 1'
_symmetry_Int_Tables_number 1
loop_
_symmetry_equiv_pos_as_xyz
'x,y,z'
loop_
_atom_site_label
_atom_site_type_symbol
_atom_site_fract_x
_atom_site_fract_y
_atom_site_fract_z
_atom_site_occupancy
Br1 Br 0.7500 0.2500 0.5000 1
Co1 Co 0.2500 0.7500 0.5000 1
P1 P 0.0644 0.0644 0.0000 1
P2 P 0.4356 0.4356 0.0000 1